(1)
Computed, not measured: a geometry-optimized Rb3Mg2 structure at the PBEsol level of DFT.

a b c (Å): 6.3312 6.3312 8.1043
angles (deg): 90.00 90.00 120.00
Sites, in units of the cell vectors:
Mg 0.3333 0.6667 0.8986
Mg 0.6667 0.3333 0.1014
Rb 0.0000 0.0000 0.0000
Rb 0.3333 0.6667 0.3613
Rb 0.6667 0.3333 0.6387

Summary:
E_tot = -5.2 eV/cell

---

(2)
Computed, not measured: a geometry-optimized RbMgRh3 structure at the PBEsol level of DFT.

a b c (Å): 4.7271 4.7271 4.7271
angles (deg): 90.00 90.00 90.00
Site moments in Bohr magnetons follow the coordinates.
Sites, in units of the cell vectors:
Mg 0.5000 0.5000 0.5000  0.00
Rh 0.0000 0.5000 0.0000  0.11
Rh 0.0000 0.0000 0.5000  0.11
Rh 0.5000 0.0000 0.0000  0.11
Rb 0.0000 0.0000 0.0000  0.00

Summary:
E_tot = -16.9 eV/cell

---

Please write out number 2 again, unchanged.
Computed, not measured: a geometry-optimized RbMgRh3 structure at the PBEsol level of DFT.

a b c (Å): 4.7271 4.7271 4.7271
angles (deg): 90.00 90.00 90.00
Site moments in Bohr magnetons follow the coordinates.
Sites, in units of the cell vectors:
Mg 0.5000 0.5000 0.5000  0.00
Rh 0.0000 0.5000 0.0000  0.11
Rh 0.0000 0.0000 0.5000  0.11
Rh 0.5000 0.0000 0.0000  0.11
Rb 0.0000 0.0000 0.0000  0.00

Summary:
E_tot = -16.9 eV/cell

---

Q: Which of these has the lowest E_tot?
A: RbMgRh3